Compound: MgSnSe3
Source: Alexandria via LeMat-Bulk
Functional: PBE-GGA
Structure: relaxed

Values from the calculation:
Crystal system: cubic
ΔE_f (raw) (eV/atom): -0.111
Polymorph energy (0 for the lowest one) (meV/atom): 402
DFT total energy (eV/f.u.): -16.6

CIF file:
```
data_MgSnSe3
_cell_length_a 5.0723
_cell_length_b 5.0723
_cell_length_c 5.0723
_cell_angle_alpha 90.00
_cell_angle_beta 90.00
_cell_angle_gamma 90.00
_symmetry_space_group_name_H-M 'P m -3 m'
_symmetry_Int_Tables_number 221
_symmetry_space_group_name_Hall '-P 4 2 3'
loop_
_atom_site_label
_atom_site_type_symbol
_atom_site_fract_x
_atom_site_fract_y
_atom_site_fract_z
Mg1 Mg 0.0000 0.0000 0.0000
Sn1 Sn 0.5000 0.5000 0.5000
Se1 Se 0.0000 0.0000 0.5000
```